Entry 1:
Here is an optimized crystal structure of NbCu2Si2 from the Alexandria database. Energies are from PBE.

```
NbCu2Si2
1.0
-6.620 2.239 0.463
-2.279 -6.353 -1.869
-0.072 -0.776 2.727
Nb Si Cu
2 4 4
Direct
0.000 0.000 0.000
0.500 0.500 0.000
0.344 0.844 0.000
0.844 0.656 0.000
0.656 0.156 0.000
0.156 0.344 0.000
0.138 0.638 0.500
0.638 0.862 0.500
0.862 0.362 0.500
0.362 0.138 0.500
```

Computed properties:
formation energy from raw total energies = -0.42 eV per formula unit
total energy = -5.907 eV/atom
space-group type = P4/mbm, No. 127

Entry 2:
Here is an optimized crystal structure of Sm2PdAu from the Alexandria database. Energies are from PBE.

```
Sm2PdAu
1.0
4.719 0.000 0.000
0.000 5.775 0.109
0.000 -2.738 7.220
Sm Pd Au
4 2 2
Direct
0.750 0.229 0.429
0.250 0.771 0.571
0.250 0.780 0.067
0.750 0.220 0.933
0.250 0.331 0.207
0.750 0.669 0.793
0.750 0.672 0.292
0.250 0.328 0.708
```

Computed properties:
total energy = -5.318 eV/atom
space-group type = P2_1/m, No. 11
DFT formation energy = -0.841 eV/atom

Entry 3:
Here is an optimized crystal structure of Sm6HoSe8 from the Alexandria database. Energies are from PBE.

```
Sm6HoSe8
1.0
7.194 0.000 4.154
2.398 6.783 4.154
0.000 0.000 8.307
Sm Ho Se
6 1 8
Direct
0.000 0.500 0.500
0.500 0.000 0.000
0.500 0.500 0.000
0.000 0.000 0.500
0.000 0.500 0.000
0.500 0.000 0.500
0.000 0.000 0.000
0.750 0.750 0.750
0.250 0.250 0.250
0.752 0.248 0.248
0.248 0.752 0.752
0.248 0.248 0.752
0.752 0.752 0.248
0.752 0.248 0.752
0.248 0.752 0.248
```

Computed properties:
formation energy from raw total energies = -27.98 eV per formula unit
total energy = -5.917 eV/atom
space-group type = Fm-3m, No. 225

Entry 4:
Here is an optimized crystal structure of HfVPt3 from the Alexandria database. Energies are from PBE.

```
HfVPt3
1.0
-1.058 4.287 1.345
-4.492 -1.035 -0.233
0.085 -1.362 4.410
Hf Pt V
1 3 1
Direct
0.500 0.500 0.500
0.000 0.500 0.000
0.000 0.000 0.500
0.500 0.000 0.000
0.000 0.000 0.000
```

Computed properties:
total energy = -7.143 eV/atom
space-group type = Pm-3m, No. 221
relative energy among the computed polymorphs = 0 meV per atom
DFT formation energy = 0.296 eV/atom

Entry 5:
Here is an optimized crystal structure of ThMn10B2 from the Alexandria database. Energies are from PBE.

```
ThMn10B2
1.0
-3.172 -4.513 -2.735
4.714 0.079 -3.959
3.743 -5.268 4.352
Th Mn B
2 20 4
Direct
0.886 0.114 0.750
0.114 0.886 0.250
0.394 0.112 0.750
0.606 0.888 0.250
0.888 0.606 0.750
0.112 0.394 0.250
0.531 0.739 0.750
0.469 0.261 0.250
0.261 0.469 0.750
0.739 0.531 0.250
0.818 0.182 0.402
0.182 0.818 0.902
0.818 0.182 0.098
0.182 0.818 0.598
0.613 0.387 0.939
0.387 0.613 0.439
0.613 0.387 0.561
0.387 0.613 0.061
0.772 0.772 0.000
0.228 0.228 0.500
0.228 0.228 0.000
0.772 0.772 0.500
0.500 0.000 0.000
0.500 0.000 0.500
0.000 0.500 0.500
0.000 0.500 0.000
```

Computed properties:
total energy = -8.698 eV/atom
space-group type = Cmcm, No. 63
DFT formation energy = -0.047 eV/atom

Entry 6:
Here is an optimized crystal structure of PrHoTm3 from the Alexandria database. Energies are from PBE.

```
PrHoTm3
1.0
3.604 0.019 0.000
-1.769 8.365 0.000
0.000 0.000 11.389
Pr Ho Tm
2 2 6
Direct
0.086 0.485 0.250
0.914 0.515 0.750
0.346 0.136 0.250
0.654 0.864 0.750
0.834 0.181 0.000
0.166 0.819 0.000
0.834 0.181 0.500
0.166 0.819 0.500
0.695 0.823 0.250
0.305 0.177 0.750
```

Computed properties:
total energy = -4.262 eV/atom
space-group type = P2_1/m, No. 11
relative energy among the computed polymorphs = 282 meV per atom
DFT formation energy = 0.292 eV/atom

Entry 7:
Here is an optimized crystal structure of KBiSb2 from the Alexandria database. Energies are from PBE.

```
KBiSb2
1.0
-1.675 -0.390 5.237
2.639 -4.840 -0.036
8.034 8.626 -0.705
K Bi Sb
2 2 4
Direct
0.052 0.015 0.966
0.015 0.052 0.466
0.402 0.519 0.324
0.519 0.402 0.824
0.666 0.557 0.606
0.557 0.666 0.106
0.281 0.777 0.707
0.777 0.281 0.207
```

Computed properties:
formation energy from raw total energies = -0.41 eV per formula unit
total energy = -3.409 eV/atom
space-group type = Cc, No. 9

Entry 8:
Here is an optimized crystal structure of SnTeF2 from the Alexandria database. Energies are from PBE.

```
SnTeF2
1.0
1.919 0.000 8.608
-0.960 1.662 8.608
-0.960 -1.662 8.608
Te Sn F
1 1 2
Direct
0.000 0.000 0.000
0.500 0.500 0.500
0.917 0.917 0.917
0.083 0.083 0.083
```

Computed properties:
formation energy from raw total energies = -4.71 eV per formula unit
total energy = -3.899 eV/atom
space-group type = R-3m, No. 166
relative energy among the computed polymorphs = 0 meV per atom

Entry 9:
Here is an optimized crystal structure of YTmSc2S6 from the Alexandria database. Energies are from PBE.

```
YTmSc2S6
1.0
-2.445 -3.275 -5.279
0.444 -6.654 -0.300
-5.947 -3.785 0.882
Y Tm Sc S
1 1 2 6
Direct
0.813 0.813 0.562
0.315 0.315 0.055
0.513 0.513 0.462
0.012 0.012 0.965
0.624 0.235 0.245
0.235 0.896 0.245
0.896 0.624 0.245
0.389 0.733 0.746
0.733 0.131 0.746
0.131 0.389 0.746
```

Computed properties:
formation energy from raw total energies = -19.65 eV per formula unit
total energy = -6.801 eV/atom
space-group type = R3, No. 146

Entry 10:
Here is an optimized crystal structure of Ce4PmTm3Se8 from the Alexandria database. Energies are from PBE.

```
Ce4PmTm3Se8
1.0
8.210 0.000 0.000
0.000 8.328 0.078
-4.105 -4.101 5.809
Ce Pm Tm Se
4 1 3 8
Direct
0.500 0.000 0.000
0.500 0.000 0.500
0.000 0.000 0.000
0.000 0.000 0.500
0.000 0.500 0.000
0.500 0.500 0.000
0.500 0.500 0.500
0.000 0.500 0.500
0.250 0.738 0.988
0.250 0.738 0.500
0.256 0.268 0.512
0.738 0.738 0.988
0.262 0.262 0.012
0.744 0.732 0.488
0.750 0.262 0.500
0.750 0.262 0.012
```

Computed properties:
formation energy from raw total energies = -28.37 eV per formula unit
total energy = -6.134 eV/atom
space-group type = R-3m, No. 166

Entry 11:
Here is an optimized crystal structure of BaAcAgHg from the Alexandria database. Energies are from PBE.

```
BaAcAgHg
1.0
-2.168 3.265 4.217
-4.241 -2.031 3.322
1.042 -1.338 5.502
Ac Hg Ag Ba
1 1 1 1
Direct
0.000 0.000 0.000
0.750 0.750 0.750
0.250 0.250 0.250
0.500 0.500 0.500
```

Computed properties:
total energy = -2.628 eV/atom
space-group type = F-43m, No. 216
relative energy among the computed polymorphs = 39 meV per atom
DFT formation energy = -0.332 eV/atom

Entry 12:
Here is an optimized crystal structure of PmGa2Os from the Alexandria database. Energies are from PBE.

```
PmGa2Os
1.0
4.267 0.000 0.000
2.134 3.695 0.000
2.134 1.232 5.084
Os Ga Pm
1 2 1
Direct
0.500 0.500 0.500
0.786 0.786 0.641
0.214 0.214 0.359
0.000 0.000 0.000
```

Computed properties:
total energy = -5.869 eV/atom
space-group type = R-3m, No. 166
relative energy among the computed polymorphs = 0 meV per atom
DFT formation energy = -0.361 eV/atom

Entry 13:
Here is an optimized crystal structure of Sc2SnPPb from the Alexandria database. Energies are from PBE.

```
Sc2SnPPb
1.0
-0.232 -2.793 -4.119
5.128 0.304 -0.495
0.510 -4.115 2.762
Pb Sc Sn P
1 2 1 1
Direct
0.500 0.500 0.500
0.000 0.000 0.500
0.500 0.000 0.000
0.000 0.500 0.000
0.000 0.000 0.000
```

Computed properties:
total energy = -5.492 eV/atom
space-group type = P4/mmm, No. 123
DFT formation energy = -0.335 eV/atom

Entry 14:
Here is an optimized crystal structure of Pr2SmEu from the Alexandria database. Energies are from PBE.

```
Pr2SmEu
1.0
5.913 0.000 0.000
2.956 5.121 0.000
2.956 1.707 4.828
Eu Pr Sm
1 2 1
Direct
0.000 0.000 0.000
0.250 0.250 0.250
0.750 0.750 0.750
0.500 0.500 0.500
```

Computed properties:
total energy = -6.008 eV/atom
space-group type = Fm-3m, No. 225
relative energy among the computed polymorphs = 100 meV per atom
DFT formation energy = 0.130 eV/atom

Entry 15:
Here is an optimized crystal structure of Nd2DyF from the Alexandria database. Energies are from PBE.

```
Nd2DyF
1.0
-0.162 2.834 2.516
1.929 -0.243 3.257
7.457 4.617 -1.863
F Nd Dy
1 2 1
Direct
0.000 0.000 0.000
0.724 0.724 0.829
0.276 0.276 0.171
0.500 0.500 0.500
```

Computed properties:
formation energy from raw total energies = -4.53 eV per formula unit
total energy = -5.135 eV/atom
space-group type = R-3m, No. 166

Entry 16:
Here is an optimized crystal structure of Ti2MnPd7 from the Alexandria database. Energies are from PBE.

```
Ti2MnPd7
1.0
2.789 0.000 0.000
0.000 8.620 -0.479
0.000 -4.317 7.477
Ti Mn Pd
2 1 7
Direct
0.500 0.666 0.334
0.500 0.334 0.666
0.000 0.000 0.000
0.000 0.805 0.195
0.000 0.195 0.805
0.500 0.127 0.321
0.500 0.873 0.679
0.500 0.321 0.127
0.500 0.679 0.873
0.500 0.500 0.500
```

Computed properties:
total energy = -6.153 eV/atom
space-group type = Cmmm, No. 65
DFT formation energy = -0.022 eV/atom

Entry 17:
Here is an optimized crystal structure of Hf12Zr6Sc from the Alexandria database. Energies are from PBE.

```
Hf12Zr6Sc
1.0
8.211 -0.146 -1.481
-3.500 8.068 -3.603
0.503 -2.008 7.581
Hf Zr Sc
12 6 1
Direct
0.703 0.338 0.583
0.302 0.145 0.408
0.453 0.362 0.233
0.889 0.580 0.466
0.547 0.638 0.767
0.698 0.855 0.592
0.479 0.858 0.238
0.298 0.398 0.885
0.297 0.662 0.417
0.521 0.142 0.762
0.702 0.602 0.115
0.111 0.420 0.534
0.055 0.677 0.020
0.100 0.933 0.565
0.699 0.119 0.111
0.900 0.067 0.435
0.945 0.323 0.980
0.301 0.881 0.889
0.000 0.000 0.000
```

Computed properties:
total energy = -9.238 eV/atom
space-group type = P-1, No. 2
DFT formation energy = 0.081 eV/atom

Entry 18:
Here is an optimized crystal structure of SrAs2OsBr from the Alexandria database. Energies are from PBE.

```
SrAs2OsBr
1.0
-1.687 -4.343 0.997
3.902 -1.955 -1.913
2.582 0.167 5.096
Sr As Os Br
1 2 1 1
Direct
0.500 0.500 0.500
0.000 0.500 0.000
0.500 0.000 0.000
0.000 0.000 0.000
0.000 0.000 0.500
```

Computed properties:
formation energy from raw total energies = -0.97 eV per formula unit
total energy = -4.970 eV/atom
space-group type = P4/mmm, No. 123
relative energy among the computed polymorphs = 0 meV per atom

Entry 19:
Here is an optimized crystal structure of FeTeSeN2 from the Alexandria database. Energies are from PBE.

```
FeTeSeN2
1.0
-0.809 3.755 -0.651
-1.698 -0.951 -3.375
-5.289 -0.647 2.844
Te Fe Se N
1 1 1 2
Direct
0.000 0.000 0.000
0.500 0.500 0.500
0.000 0.000 0.500
0.000 0.500 0.000
0.500 0.000 0.000
```

Computed properties:
formation energy from raw total energies = 7.59 eV per formula unit
total energy = -4.831 eV/atom
space-group type = P4/mmm, No. 123
relative energy among the computed polymorphs = 589 meV per atom

Entry 20:
Here is an optimized crystal structure of CdGaHg4 from the Alexandria database. Energies are from PBE.

```
CdGaHg4
1.0
-4.705 -1.756 -3.661
4.536 2.175 -6.873
1.026 -6.198 1.656
Cd Ga Hg
2 2 8
Direct
0.000 0.000 0.500
0.500 0.500 0.500
0.500 0.500 0.000
0.000 0.000 0.000
0.839 0.325 0.165
0.661 0.825 0.165
0.128 0.640 0.314
0.628 0.860 0.686
0.372 0.140 0.314
0.872 0.360 0.686
0.339 0.175 0.835
0.161 0.675 0.835
```

Computed properties:
total energy = -0.812 eV/atom
space-group type = P2_1/c, No. 14
relative energy among the computed polymorphs = 0 meV per atom
DFT formation energy = 0.046 eV/atom